[1]
This record from Alexandria via LeMat-Bulk describes an optimized crystal structure of ScUFe. The functional is PBE.

It has space group P2_1/c (No. 14), with a = 5.6004 Å, b = 6.6778 Å, c = 6.9249 Å, α = 90.00°, β = 116.81° and γ = 90.00°. Symmetry generates all atoms from Sc at (0.0423, 0.1779, 0.3448), U at (0.4515, 0.5257, 0.6700) and Fe at (0.3843, 0.6653, 0.0073).

As for the total DFT energy (no corrections): -26.442 eV per formula unit. The energy above the most stable polymorph in this dataset comes out at 0.000 eV per atom.


[2]
This record from Alexandria via LeMat-Bulk describes an optimized crystal structure of Sr3Cu8Rh3. The functional is PBE.

It has space group Immm (No. 71), with a = 4.2307 Å, b = 10.0786 Å, c = 12.4454 Å, α = 90.00°, β = 90.00° and γ = 90.00°. Symmetry generates all atoms from Sr at (0.0000, 0.0000, 0.0000), Sr at (0.0000, 0.0000, 0.3190), Cu at (0.0000, 0.2751, 0.1094), Cu at (0.0000, 0.2994, 0.3050), Rh at (0.0000, 0.2183, 0.5000) and Rh at (0.0000, 0.5000, 0.0000).

As for the total DFT energy (no corrections): -60.590 eV per formula unit.


[3]
This record from Alexandria via LeMat-Bulk describes an optimized crystal structure of HfCrCuS4. The functional is PBE.

It has space group Pmmn (No. 59, origin choice 2), with a = 7.0898 Å, b = 12.4212 Å, c = 6.0576 Å, α = 90.00°, β = 90.00° and γ = 90.00°. Symmetry generates all atoms from Hf at (0.0000, 0.0000, 0.0000), Cr at (0.2500, 0.0033, 0.4976), Cu at (0.2500, 0.2500, 0.8807), Cu at (0.2500, 0.7500, 0.5199), S at (0.0012, 0.1149, 0.6523), S at (0.2500, 0.1175, 0.1697) and S at (0.2500, 0.6146, 0.8157).

As for the total DFT energy (no corrections): -46.156 eV per formula unit. The value obtained for the uncorrected formation energy is -0.8534 eV/atom. The energy above the most stable polymorph in this dataset comes out at 0.150 eV per atom.


What is the total DFT energy (no corrections) in the first record?
-26.442 eV per formula unit